[1]
Density functional theory data (PBE) for a relaxed structure of La3Pm2PrHo6.

Lattice parameters (Å, degrees): 6.289 6.289 11.843 95.07 95.07 120.00
Fractional coordinates of all 12 atoms:
1 La 0.167 0.833 0.500
2 La 0.833 0.167 0.500
3 La 0.500 0.500 0.500
4 Pm 0.333 0.667 0.000
5 Pm 0.667 0.333 0.000
6 Pr 0.000 0.000 0.000
7 Ho 0.918 0.584 0.752
8 Ho 0.749 0.749 0.248
9 Ho 0.082 0.416 0.248
10 Ho 0.584 0.918 0.752
11 Ho 0.251 0.251 0.752
12 Ho 0.416 0.082 0.248

Values from the calculation:
* density of states at the Fermi level: 1.162 states/eV per atom
* SG: C2/m (12)
* energy of formation from the pure elements: 13.5 meV/atom



[2]
Density functional theory data (PBE) for a relaxed structure of LaSmGaIr.

Lattice parameters (Å, degrees): 5.139 5.139 5.139 60.00 60.00 60.00
Fractional coordinates of all 4 atoms:
1 Ir 0.750 0.750 0.750
2 Ga 0.250 0.250 0.250
3 Sm 0.500 0.500 0.500
4 La 0.000 0.000 0.000

Values from the calculation:
* density of states at the Fermi level: 0.931 states/eV per atom
* SG: F-43m (216)
* energy of formation from the pure elements: -533.8 meV/atom
* relative energy among the computed polymorphs: 55 kJ/mol of formula units



[3]
Density functional theory data (PBE) for a relaxed structure of ZnPdRh.

Lattice parameters (Å, degrees): 2.788 2.788 6.452 90.00 90.00 120.00
Fractional coordinates of all 3 atoms:
1 Zn 0.667 0.333 0.335
2 Rh 0.333 0.667 0.655
3 Pd 0.000 0.000 0.010

Values from the calculation:
* density of states at the Fermi level: 1.394 states/eV per atom
* SG: P3m1 (156)
* energy of formation from the pure elements: -208.1 meV/atom
* relative energy among the computed polymorphs: 16 kJ/mol of formula units



[4]
Density functional theory data (PBE) for a relaxed structure of HfPa2Se5.

Lattice parameters (Å, degrees): 5.600 6.894 13.077 90.00 90.00 113.96
Last column: magnetic moment on the atom in μB.
Fractional coordinates of all 16 atoms:
1 Hf 0.780 0.560 0.750  0.26
2 Hf 0.220 0.440 0.250  0.26
3 Pa 0.841 0.682 0.439  0.89
4 Pa 0.841 0.682 0.061  0.89
5 Pa 0.159 0.318 0.561  0.89
6 Pa 0.159 0.318 0.939  0.89
7 Se 0.948 0.897 0.874  -0.02
8 Se 0.948 0.897 0.626  -0.02
9 Se 0.344 0.688 0.422  -0.02
10 Se 0.344 0.688 0.078  -0.02
11 Se 0.724 0.447 0.250  -0.01
12 Se 0.276 0.553 0.750  -0.01
13 Se 0.656 0.312 0.578  -0.02
14 Se 0.656 0.312 0.922  -0.02
15 Se 0.052 0.103 0.126  -0.02
16 Se 0.052 0.103 0.374  -0.02

Values from the calculation:
* formation energy from raw total energies: -1199 meV per atom
* density of states at the Fermi level: 1.135 states/eV per atom
* SG: Cmcm (63)



[5]
Density functional theory data (PBE) for a relaxed structure of Ti7Nb2Mo2.

Lattice parameters (Å, degrees): 5.207 5.207 7.864 89.00 89.00 115.06
Fractional coordinates of all 11 atoms:
1 Ti 0.158 0.573 0.152
2 Ti 0.427 0.842 0.848
3 Ti 0.842 0.427 0.848
4 Ti 0.573 0.158 0.152
5 Ti 0.000 0.000 0.000
6 Ti 0.328 0.328 0.683
7 Ti 0.672 0.672 0.317
8 Nb 0.754 0.246 0.500
9 Nb 0.246 0.754 0.500
10 Mo 0.834 0.834 0.665
11 Mo 0.166 0.166 0.335

Values from the calculation:
* density of states at the Fermi level: 1.282 states/eV per atom
* SG: C2/m (12)
* energy of formation from the pure elements: 64.1 meV/atom



[6]
Density functional theory data (PBE) for a relaxed structure of MoRuPt2.

Lattice parameters (Å, degrees): 5.672 5.672 6.874 65.63 65.63 90.00
Fractional coordinates of all 8 atoms:
1 Ru 0.000 0.000 0.000
2 Ru 0.750 0.250 0.500
3 Mo 0.500 0.500 0.000
4 Mo 0.250 0.750 0.500
5 Pt 0.629 0.125 0.250
6 Pt 0.121 0.625 0.250
7 Pt 0.375 0.371 0.750
8 Pt 0.875 0.879 0.750

Values from the calculation:
* density of states at the Fermi level: 0.751 states/eV per atom
* SG: I-42d (122)
* energy of formation from the pure elements: 911.7 meV/atom
* relative energy among the computed polymorphs: 426 kJ/mol of formula units



[7]
Density functional theory data (PBE) for a relaxed structure of CuS5O.

Lattice parameters (Å, degrees): 4.836 4.342 10.252 101.97 111.94 116.23
Fractional coordinates of all 7 atoms:
1 Cu 0.828 0.582 0.700
2 S 0.881 0.166 0.096
3 S 0.233 0.745 0.248
4 S 0.216 0.995 0.097
5 S 0.214 0.288 0.600
6 S 0.063 0.208 0.761
7 O 0.096 0.547 0.559

Values from the calculation:
* formation energy from raw total energies: -93 meV per atom
* density of states at the Fermi level: 0.311 states/eV per atom
* SG: P1 (1)



[8]
Density functional theory data (PBE) for a relaxed structure of TbYSiIr.

Lattice parameters (Å, degrees): 4.193 4.021 5.659 90.00 111.75 90.00
Fractional coordinates of all 4 atoms:
1 Tb 0.144 0.000 0.288
2 Y 0.861 0.500 0.721
3 Si 0.568 0.500 0.135
4 Ir 0.427 0.000 0.855

Values from the calculation:
* formation energy from raw total energies: -857 meV per atom
* density of states at the Fermi level: 0.602 states/eV per atom
* SG: Amm2 (38)



[9]
Density functional theory data (PBE) for a relaxed structure of MgZrPAu2.

Lattice parameters (Å, degrees): 5.143 5.612 5.143 90.00 90.00 90.00
Last column: magnetic moment on the atom in μB.
Fractional coordinates of all 5 atoms:
1 P 0.500 0.500 0.500  -0.03
2 Mg 0.000 0.500 0.000  0.01
3 Au 0.000 0.000 0.500  0.00
4 Au 0.500 0.000 0.000  0.03
5 Zr 0.000 0.000 0.000  0.28

Values from the calculation:
* density of states at the Fermi level: 1.209 states/eV per atom
* SG: P4/mmm (123)
* energy of formation from the pure elements: 1191.3 meV/atom



[10]
Density functional theory data (PBE) for a relaxed structure of Mg4Ag2O.

Lattice parameters (Å, degrees): 4.099 4.099 8.025 104.80 104.80 90.00
Fractional coordinates of all 7 atoms:
1 Mg 0.834 0.834 0.668
2 Mg 0.166 0.166 0.332
3 Mg 0.000 0.500 0.000
4 Mg 0.500 0.000 0.000
5 O 0.000 0.000 0.000
6 Ag 0.644 0.644 0.289
7 Ag 0.356 0.356 0.711

Values from the calculation:
* formation energy from raw total energies: -665 meV per atom
* density of states at the Fermi level: 0.342 states/eV per atom
* SG: I4/mmm (139)



[11]
Density functional theory data (PBE) for a relaxed structure of Ba2Na2GaSn4.

Lattice parameters (Å, degrees): 7.374 7.374 7.374 89.42 120.33 120.33
Fractional coordinates of all 9 atoms:
1 Ba 0.500 0.750 0.250
2 Ba 0.500 0.250 0.750
3 Na 0.000 0.721 0.721
4 Na 0.000 0.279 0.279
5 Ga 0.000 0.000 0.000
6 Sn 0.000 0.723 0.277
7 Sn 0.446 0.723 0.723
8 Sn 0.000 0.277 0.723
9 Sn 0.554 0.277 0.277

Values from the calculation:
* density of states at the Fermi level: 0.520 states/eV per atom
* SG: I4/mmm (139)
* energy of formation from the pure elements: -333.4 meV/atom



[12]
Density functional theory data (PBE) for a relaxed structure of Ta3Mo4W2.

Lattice parameters (Å, degrees): 4.525 4.525 8.403 90.00 90.00 60.00
Fractional coordinates of all 9 atoms:
1 Ta 0.333 0.333 0.438
2 Ta 0.000 0.000 0.000
3 Ta 0.667 0.667 0.562
4 Mo 0.667 0.667 0.890
5 Mo 0.000 0.000 0.334
6 Mo 0.000 0.000 0.666
7 Mo 0.333 0.333 0.110
8 W 0.333 0.333 0.781
9 W 0.667 0.667 0.219

Values from the calculation:
* density of states at the Fermi level: 0.471 states/eV per atom
* SG: P-3m1 (164)
* energy of formation from the pure elements: -139.2 meV/atom
* relative energy among the computed polymorphs: 0 kJ/mol of formula units



[13]
Density functional theory data (PBE) for a relaxed structure of CoSi2P.

Lattice parameters (Å, degrees): 4.351 4.351 4.351 127.33 127.33 77.71
Fractional coordinates of all 4 atoms:
1 Co 0.500 0.500 0.000
2 P 0.750 0.250 0.500
3 Si 0.000 0.000 0.000
4 Si 0.250 0.750 0.500

Values from the calculation:
* formation energy from raw total energies: 294 meV per atom
* density of states at the Fermi level: 0.504 states/eV per atom
* SG: I-4m2 (119)
* relative energy among the computed polymorphs: 166 kJ/mol of formula units



[14]
Density functional theory data (PBE) for a relaxed structure of TbDy3Y2Tm6.

Lattice parameters (Å, degrees): 6.098 6.098 11.659 94.99 94.99 119.94
Fractional coordinates of all 12 atoms:
1 Tb 0.000 0.000 0.000
2 Dy 0.167 0.833 0.500
3 Dy 0.833 0.167 0.500
4 Dy 0.500 0.500 0.500
5 Y 0.333 0.667 0.000
6 Y 0.667 0.333 0.000
7 Tm 0.916 0.583 0.749
8 Tm 0.751 0.751 0.251
9 Tm 0.084 0.417 0.251
10 Tm 0.583 0.916 0.749
11 Tm 0.249 0.249 0.749
12 Tm 0.417 0.084 0.251

Values from the calculation:
* density of states at the Fermi level: 1.421 states/eV per atom
* SG: C2/m (12)
* energy of formation from the pure elements: 24.6 meV/atom



[15]
Density functional theory data (PBE) for a relaxed structure of PtO.

Lattice parameters (Å, degrees): 2.771 3.204 6.663 90.00 90.17 90.00
Fractional coordinates of all 4 atoms:
1 O 0.248 0.750 0.193
2 O 0.752 0.250 0.807
3 Pt 0.751 0.750 0.635
4 Pt 0.249 0.250 0.365

Values from the calculation:
* formation energy from raw total energies: 86 meV per atom
* density of states at the Fermi level: 0.608 states/eV per atom
* SG: P2_1/m (11)



[16]
Density functional theory data (PBE) for a relaxed structure of Ta2HgAuSe.

Lattice parameters (Å, degrees): 5.094 5.094 5.103 90.00 90.00 90.00
Last column: magnetic moment on the atom in μB.
Fractional coordinates of all 5 atoms:
1 Au 0.000 0.000 0.000  0.05
2 Hg 0.000 0.000 0.500  0.00
3 Se 0.500 0.500 0.500  -0.08
4 Ta 0.000 0.500 0.000  1.02
5 Ta 0.500 0.000 0.000  1.02

Values from the calculation:
* formation energy from raw total energies: 1460 meV per atom
* density of states at the Fermi level: 0.852 states/eV per atom
* SG: P4/mmm (123)



[17]
Density functional theory data (PBE) for a relaxed structure of CeCdP2Rh5.

Lattice parameters (Å, degrees): 4.019 4.019 10.435 90.00 90.00 90.00
Last column: magnetic moment on the atom in μB.
Fractional coordinates of all 9 atoms:
1 Ce 0.000 0.000 0.500  0.67
2 Cd 0.000 0.000 0.000  0.00
3 P 0.500 0.500 0.282  0.00
4 P 0.500 0.500 0.718  0.00
5 Rh 0.000 0.500 0.185  0.00
6 Rh 0.500 0.000 0.185  0.00
7 Rh 0.000 0.500 0.815  0.00
8 Rh 0.500 0.000 0.815  0.00
9 Rh 0.500 0.500 0.500  -0.05

Values from the calculation:
* density of states at the Fermi level: 0.934 states/eV per atom
* SG: P4/mmm (123)
* energy of formation from the pure elements: -535.0 meV/atom



[18]
Density functional theory data (PBE) for a relaxed structure of TaRe2Au.

Lattice parameters (Å, degrees): 2.718 2.718 8.902 90.00 90.00 90.00
Fractional coordinates of all 4 atoms:
1 Au 0.500 0.500 0.750
2 Re 0.000 0.000 0.000
3 Re 0.000 0.000 0.500
4 Ta 0.500 0.500 0.250

Values from the calculation:
* density of states at the Fermi level: 0.937 states/eV per atom
* SG: P4/mmm (123)
* energy of formation from the pure elements: 362.0 meV/atom
* relative energy among the computed polymorphs: 113 kJ/mol of formula units



[19]
Density functional theory data (PBE) for a relaxed structure of CaEuSb.

Lattice parameters (Å, degrees): 5.339 5.339 5.339 60.00 60.00 60.00
Last column: magnetic moment on the atom in μB.
Fractional coordinates of all 3 atoms:
1 Eu 0.500 0.500 0.500  -6.97
2 Sb 0.250 0.250 0.250  0.04
3 Ca 0.000 0.000 0.000  -0.05

Values from the calculation:
* formation energy from raw total energies: -798 meV per atom
* density of states at the Fermi level: 2.672 states/eV per atom
* SG: F-43m (216)
* relative energy among the computed polymorphs: 0 kJ/mol of formula units



[20]
Density functional theory data (PBE) for a relaxed structure of Rb3Na2MgF6.

Lattice parameters (Å, degrees): 6.196 6.196 7.502 90.00 90.00 120.00
Fractional coordinates of all 12 atoms:
1 Rb 0.333 0.667 0.631
2 Rb 0.667 0.333 0.369
3 Rb 0.000 0.000 0.000
4 Na 0.667 0.333 0.796
5 Na 0.333 0.667 0.204
6 Mg 0.000 0.000 0.500
7 F 0.694 0.847 0.338
8 F 0.153 0.306 0.338
9 F 0.153 0.847 0.338
10 F 0.847 0.694 0.662
11 F 0.306 0.153 0.662
12 F 0.847 0.153 0.662

Values from the calculation:
* formation energy from raw total energies: -2630 meV per atom
* density of states at the Fermi level: 0.112 states/eV per atom
* SG: P-3m1 (164)



[21]
Density functional theory data (PBE) for a relaxed structure of K2ScPt.

Lattice parameters (Å, degrees): 5.475 5.475 5.475 60.00 60.00 60.00
Last column: magnetic moment on the atom in μB.
Fractional coordinates of all 4 atoms:
1 Sc 0.000 0.000 0.000  0.72
2 K 0.250 0.250 0.250  0.01
3 K 0.750 0.750 0.750  0.01
4 Pt 0.500 0.500 0.500  -0.07

Values from the calculation:
* density of states at the Fermi level: 0.852 states/eV per atom
* SG: Fm-3m (225)
* energy of formation from the pure elements: 687.4 meV/atom
* relative energy among the computed polymorphs: 367 kJ/mol of formula units



[22]
Density functional theory data (PBE) for a relaxed structure of Pm3NiGe3.

Lattice parameters (Å, degrees): 4.333 5.848 13.514 84.78 80.78 68.26
Fractional coordinates of all 14 atoms:
1 Pm 0.532 0.320 0.617
2 Pm 0.468 0.680 0.383
3 Pm 0.251 0.266 0.231
4 Pm 0.749 0.734 0.769
5 Pm 0.401 0.276 0.921
6 Pm 0.599 0.724 0.079
7 Ni 0.754 0.096 0.396
8 Ni 0.246 0.904 0.604
9 Ge 0.849 0.760 0.542
10 Ge 0.151 0.240 0.458
11 Ge 0.121 0.835 0.923
12 Ge 0.879 0.165 0.077
13 Ge 0.954 0.854 0.238
14 Ge 0.046 0.146 0.762

Values from the calculation:
* density of states at the Fermi level: 0.907 states/eV per atom
* SG: C2/m (12)
* energy of formation from the pure elements: -800.8 meV/atom
* relative energy among the computed polymorphs: 0 kJ/mol of formula units



[23]
Density functional theory data (PBE) for a relaxed structure of PrHoCo.

Lattice parameters (Å, degrees): 3.425 3.425 6.904 104.36 104.36 90.00
Last column: magnetic moment on the atom in μB.
Fractional coordinates of all 3 atoms:
1 Pr 0.035 0.035 0.071  -0.05
2 Co 0.674 0.674 0.347  0.89
3 Ho 0.291 0.291 0.582  -0.09

Values from the calculation:
* density of states at the Fermi level: 0.907 states/eV per atom
* SG: I4mm (107)
* energy of formation from the pure elements: -30.3 meV/atom
* relative energy among the computed polymorphs: 19 kJ/mol of formula units



[24]
Density functional theory data (PBE) for a relaxed structure of CdRhAu4.

Lattice parameters (Å, degrees): 5.450 5.450 5.450 60.00 60.00 60.00
Fractional coordinates of all 6 atoms:
1 Cd 0.750 0.750 0.750
2 Rh 0.000 0.000 0.000
3 Au 0.875 0.375 0.375
4 Au 0.375 0.375 0.875
5 Au 0.375 0.875 0.375
6 Au 0.375 0.375 0.375

Values from the calculation:
* density of states at the Fermi level: 0.623 states/eV per atom
* SG: F-43m (216)
* energy of formation from the pure elements: 204.6 meV/atom



[25]
Density functional theory data (PBE) for a relaxed structure of Lu3HgN.

Lattice parameters (Å, degrees): 4.669 4.669 4.669 90.00 90.00 90.00
Fractional coordinates of all 5 atoms:
1 Lu 0.000 0.500 0.000
2 Lu 0.000 0.000 0.500
3 Lu 0.500 0.000 0.000
4 Hg 0.500 0.500 0.500
5 N 0.000 0.000 0.000

Values from the calculation:
* formation energy from raw total energies: -990 meV per atom
* density of states at the Fermi level: 0.645 states/eV per atom
* SG: Pm-3m (221)



[26]
Density functional theory data (PBE) for a relaxed structure of CsNa2SnAu.

Lattice parameters (Å, degrees): 5.980 5.980 5.400 90.00 90.00 90.00
Fractional coordinates of all 5 atoms:
1 Cs 0.500 0.500 0.500
2 Na 0.000 0.500 0.000
3 Na 0.500 0.000 0.000
4 Au 0.000 0.000 0.500
5 Sn 0.000 0.000 0.000

Values from the calculation:
* density of states at the Fermi level: 0.406 states/eV per atom
* SG: P4/mmm (123)
* energy of formation from the pure elements: -142.4 meV/atom
* relative energy among the computed polymorphs: 17 kJ/mol of formula units



Mass density list, top to bottom, in Mg/m³: 7.64, 9.54, 10.50, 7.45, 6.13, 10.86, 2.49, 8.77, 6.04, 4.34, 5.09, 14.42, 4.80, 8.25, 11.85, 10.52, 8.17, 18.94, 4.84, 2.93, 4.55, 7.53, 7.99, 14.55, 12.06, 4.25